[1]
Density functional theory data (PBE) for an optimized crystal structure of CePrSmEu.

The structure in extended XYZ format:
```
4
Lattice="5.862 0.000 0.000 2.931 5.077 0.000 2.931 1.692 4.787" Properties=species:S:1:pos:R:3 pbc="T T T"
Eu 0.000 0.000 0.000
Sm 2.931 1.692 1.197
Ce 5.862 3.385 2.393
Pr 8.793 5.077 3.590
```

Computed properties:
**N(E_F)**: 2.93 states/eV per atom
**ρ**: 6800 kg/m³
**V**: 35.61 Å³/atom
**Final energy**: -0.22771 hartree per atom
**Magnetization**: 9.455 Bohr magnetons per cell

=====

[2]
Density functional theory data (PBE) for an optimized crystal structure of TbCePrEu.

The structure in extended XYZ format:
```
4
Lattice="5.834 0.000 0.000 2.917 5.053 0.000 2.917 1.684 4.764" Properties=species:S:1:pos:R:3 pbc="T T T"
Pr 0.000 0.000 0.000
Ce 8.751 5.053 3.573
Eu 2.917 1.684 1.191
Tb 5.834 3.368 2.382
```

Computed properties:
**N(E_F)**: 2.74 states/eV per atom
**ρ**: 6999 kg/m³
**V**: 35.11 Å³/atom
**Final energy**: -0.22683 hartree per atom
**Magnetization**: 9.424 Bohr magnetons per cell

=====

[3]
Density functional theory data (PBE) for an optimized crystal structure of CePrEuTl.

The structure in extended XYZ format:
```
4
Lattice="5.614 0.000 0.000 2.807 4.862 0.000 2.807 1.621 4.584" Properties=species:S:1:pos:R:3 pbc="T T T"
Pr 2.807 1.621 1.146
Tl 0.000 0.000 0.000
Eu 8.421 4.862 3.438
Ce 5.614 3.241 2.292
```

Computed properties:
**N(E_F)**: 2.06 states/eV per atom
**ρ**: 8460 kg/m³
**V**: 31.28 Å³/atom
**Final energy**: -0.21411 hartree per atom
**Magnetization**: 10.571 Bohr magnetons per cell

=====

[4]
Density functional theory data (PBE) for an optimized crystal structure of CePrEuTm.

The structure in extended XYZ format:
```
4
Lattice="-4.895 1.426 -2.773 -1.820 -3.184 -4.498 -4.715 -3.343 0.529" Properties=species:S:1:pos:R:3 pbc="T T T"
Ce -5.715 -2.550 -3.371
Tm -8.572 -3.825 -5.057
Pr -2.857 -1.275 -1.686
Eu 0.000 0.000 0.000
```

Computed properties:
**N(E_F)**: 2.54 states/eV per atom
**ρ**: 7231 kg/m³
**V**: 34.56 Å³/atom
**Final energy**: -0.22541 hartree per atom
**Magnetization**: 9.345 Bohr magnetons per cell

=====

[5]
Density functional theory data (PBE) for an optimized crystal structure of CeEuPt.

The structure in extended XYZ format:
```
3
Lattice="-4.913 3.264 -0.023 -0.895 -1.319 3.981 2.351 3.534 -0.610" Properties=species:S:1:pos:R:3 pbc="T T T"
Eu -3.445 2.711 2.434
Ce 0.054 2.724 0.915
Pt -0.066 0.044 0.000
```

Computed properties:
**N(E_F)**: 2.25 states/eV per atom
**ρ**: 8611 kg/m³
**V**: 31.31 Å³/atom
**ΔE to the lowest computed polymorph**: 28 meV per atom
**Final energy**: -0.29420 hartree per atom
**Magnetization**: 8.517 Bohr magnetons per cell

=====

[6]
Density functional theory data (PBE) for an optimized crystal structure of CeEuPt2.

The structure in extended XYZ format:
```
4
Lattice="-3.221 0.003 1.582 -1.581 -0.125 -3.219 0.105 -7.214 0.229" Properties=species:S:1:pos:R:3 pbc="T T T"
Eu -2.349 -3.668 -0.704
Pt 0.024 -1.615 0.051
Pt 0.082 -5.600 0.178
Ce -2.401 -0.061 -0.818
```

Computed properties:
**N(E_F)**: 2.84 states/eV per atom
**ρ**: 12186 kg/m³
**V**: 23.24 Å³/atom
**ΔE to the lowest computed polymorph**: 0 meV per atom
**Final energy**: -0.29655 hartree per atom
**Magnetization**: 7.615 Bohr magnetons per cell

=====

[7]
Density functional theory data (PBE) for an optimized crystal structure of CeEuPt2.

The structure in extended XYZ format:
```
4
Lattice="5.066 0.000 0.000 2.533 4.387 0.000 2.533 1.462 4.136" Properties=species:S:1:pos:R:3 pbc="T T T"
Ce 5.066 2.925 2.068
Pt 2.533 1.462 1.034
Pt 7.599 4.387 3.102
Eu 0.000 0.000 0.000
```

Computed properties:
**N(E_F)**: 2.23 states/eV per atom
**ρ**: 12325 kg/m³
**V**: 22.98 Å³/atom
**ΔE to the lowest computed polymorph**: 39 meV per atom
**Final energy**: -0.29510 hartree per atom
**Magnetization**: 8.055 Bohr magnetons per cell

=====

[8]
Density functional theory data (PBE) for an optimized crystal structure of CeEuPt.

The structure in extended XYZ format:
```
3
Lattice="5.008 0.000 0.000 2.504 4.337 0.000 2.504 1.446 4.089" Properties=species:S:1:pos:R:3 pbc="T T T"
Pt 2.504 1.446 1.022
Eu 0.000 0.000 0.000
Ce 5.008 2.891 2.045
```

Computed properties:
**N(E_F)**: 2.88 states/eV per atom
**ρ**: 9108 kg/m³
**V**: 29.60 Å³/atom
**ΔE to the lowest computed polymorph**: 0 meV per atom
**Final energy**: -0.29521 hartree per atom
**Magnetization**: 8.516 Bohr magnetons per cell

=====

[9]
Density functional theory data (PBE) for an optimized crystal structure of Ce2EuPt.

The structure in extended XYZ format:
```
4
Lattice="3.874 0.000 0.000 1.937 3.355 0.000 1.937 1.118 10.473" Properties=species:S:1:pos:R:3 pbc="T T T"
Ce 5.811 3.355 3.456
Ce 1.937 1.118 7.016
Eu 0.000 0.000 0.000
Pt 3.874 2.237 5.236
```

Computed properties:
**N(E_F)**: 3.44 states/eV per atom
**ρ**: 7652 kg/m³
**V**: 34.03 Å³/atom
**ΔE to the lowest computed polymorph**: 161 meV per atom
**Final energy**: -0.26822 hartree per atom
**Magnetization**: 9.793 Bohr magnetons per cell

=====

[10]
Density functional theory data (PBE) for an optimized crystal structure of Ce2EuPt.

The structure in extended XYZ format:
```
4
Lattice="-2.487 0.569 -2.719 1.185 -3.084 -1.730 -5.718 -4.592 4.269" Properties=species:S:1:pos:R:3 pbc="T T T"
Pt -0.651 -1.257 -2.224
Ce -1.035 -0.831 0.773
Ce -4.683 -3.761 3.497
Eu -3.510 -3.553 -0.090
```

Computed properties:
**N(E_F)**: 2.60 states/eV per atom
**ρ**: 8829 kg/m³
**V**: 29.50 Å³/atom
**ΔE to the lowest computed polymorph**: 0 meV per atom
**Final energy**: -0.27413 hartree per atom
**Magnetization**: 10.170 Bohr magnetons per cell

=====

[11]
Density functional theory data (PBE) for an optimized crystal structure of CeEuSnPt.

The structure in extended XYZ format:
```
4
Lattice="-4.894 -0.641 -1.902 -4.051 -0.746 3.319 -3.614 3.806 0.660" Properties=species:S:1:pos:R:3 pbc="T T T"
Eu 0.000 0.000 0.000
Pt -9.419 1.814 1.558
Sn -3.140 0.605 0.519
Ce -6.279 1.209 1.039
```

Computed properties:
**N(E_F)**: 3.56 states/eV per atom
**ρ**: 9613 kg/m³
**V**: 26.16 Å³/atom
**Final energy**: -0.26626 hartree per atom
**Magnetization**: 7.367 Bohr magnetons per cell

=====

[12]
Density functional theory data (PBE) for an optimized crystal structure of CeEuZnPt.

The structure in extended XYZ format:
```
4
Lattice="5.123 0.000 0.000 2.561 4.436 0.000 2.561 1.479 4.183" Properties=species:S:1:pos:R:3 pbc="T T T"
Zn 2.561 1.479 1.046
Eu 0.000 0.000 0.000
Ce 5.123 2.957 2.091
Pt 7.684 4.436 3.137
```

Computed properties:
**N(E_F)**: 1.89 states/eV per atom
**ρ**: 9654 kg/m³
**V**: 23.76 Å³/atom
**Final energy**: -0.23737 hartree per atom
**Magnetization**: 7.793 Bohr magnetons per cell

=====

[13]
Density functional theory data (PBE) for an optimized crystal structure of Ce2EuRe.

The structure in extended XYZ format:
```
4
Lattice="-1.324 3.070 0.805 -1.732 -1.430 2.604 7.363 1.655 5.804" Properties=species:S:1:pos:R:3 pbc="T T T"
Re -1.528 0.820 1.704
Eu 2.153 1.648 4.607
Ce 6.028 1.355 4.752
Ce 1.335 0.300 1.052
```

Computed properties:
**N(E_F)**: 2.21 states/eV per atom
**ρ**: 9122 kg/m³
**V**: 28.14 Å³/atom
**Final energy**: -0.31224 hartree per atom
**Magnetization**: 9.322 Bohr magnetons per cell

=====

[14]
Density functional theory data (PBE) for an optimized crystal structure of CeEuRh.

The structure in extended XYZ format:
```
3
Lattice="-2.969 1.325 3.679 -4.076 -2.580 0.916 -0.293 -2.776 4.039" Properties=species:S:1:pos:R:3 pbc="T T T"
Ce -3.669 -2.016 4.317
Eu 0.000 0.000 0.000
Rh -1.834 -1.008 2.159
```

Computed properties:
**N(E_F)**: 2.49 states/eV per atom
**ρ**: 7837 kg/m³
**V**: 27.90 Å³/atom
**ΔE to the lowest computed polymorph**: 70 meV per atom
**Final energy**: -0.30021 hartree per atom
**Magnetization**: 7.918 Bohr magnetons per cell

=====

[15]
Density functional theory data (PBE) for an optimized crystal structure of CeEuRh.

The structure in extended XYZ format:
```
3
Lattice="-2.773 -2.200 0.522 1.494 -1.163 3.036 -2.343 6.200 1.420" Properties=species:S:1:pos:R:3 pbc="T T T"
Eu -0.143 0.216 0.153
Ce -1.734 2.627 1.859
Rh -1.745 -0.006 2.965
```

Computed properties:
**N(E_F)**: 1.85 states/eV per atom
**ρ**: 8148 kg/m³
**V**: 26.83 Å³/atom
**ΔE to the lowest computed polymorph**: 0 meV per atom
**Final energy**: -0.30277 hartree per atom
**Magnetization**: 7.947 Bohr magnetons per cell

=====

[16]
Density functional theory data (PBE) for an optimized crystal structure of Ce2EuRh.

The structure in extended XYZ format:
```
4
Lattice="-2.176 -4.271 0.377 1.431 -3.678 -2.747 3.013 -4.001 2.718" Properties=species:S:1:pos:R:3 pbc="T T T"
Ce 1.798 -9.003 0.366
Ce 0.470 -2.947 -0.017
Eu 1.134 -5.975 0.174
Rh 0.000 0.000 0.000
```

Computed properties:
**N(E_F)**: 2.48 states/eV per atom
**ρ**: 8917 kg/m³
**V**: 24.91 Å³/atom
**ΔE to the lowest computed polymorph**: 180 meV per atom
**Final energy**: -0.27346 hartree per atom
**Magnetization**: 9.119 Bohr magnetons per cell

=====

Q: Which calculated formation energy values were calculated for the entries above? A: 0.23, 0.23, 0.01, 0.23, -0.59, -1.00, -0.96, -0.62, -0.25, -0.41, -0.68, -0.58, 0.15, -0.32, -0.39, -0.07, in eV/atom.